Material: PmPr6Dy3Tm2
Method: DFT, PBE-GGA
State: optimized geometry

* ΔE_f: 1 kJ/mol of atoms

Cell lengths 6.307, 10.924, 11.897 Å; angles 90.00, 100.15, 90.00 degrees
Space group C2/m (No. 12)
One atom of each set of equivalent atoms:
Pm  0.000  0.000  0.000 (multiplicity 2)
Pr  0.249  0.333  0.750 (multiplicity 8)
Pr  0.250  0.000  0.750 (multiplicity 4)
Dy  0.000  0.167  0.500 (multiplicity 4)
Dy  0.000  0.500  0.500 (multiplicity 2)
Tm  0.000  0.333  0.000 (multiplicity 4)